Record 1
# LiV4P3O12

Crystalline LiV4P3O12 at its relaxed geometry (PBEsol, Alexandria via LeMat-Bulk).

Results
Crystal system ... orthorhombic
SG ... No. 36
Density ... 3.5 g/cm3
Raw total energy ... -320.2 eV for the cell shown

Structure (CIF):
```
data_LiV4P3O12
_space_group_name_H-M_alt 'P 1'
_space_group_IT_number 1
_cell_length_a 6.5375
_cell_length_b 7.9118
_cell_length_c 10.0436
_cell_angle_alpha 90.00
_cell_angle_beta 90.00
_cell_angle_gamma 114.40
loop_
_space_group_symop_operation_xyz
'x,y,z'
loop_
_atom_site_label
_atom_site_type_symbol
_atom_site_fract_x
_atom_site_fract_y
_atom_site_fract_z
P1 P 0.8225 0.6450 0.4596
P2 P 0.5231 0.0463 0.2051
P3 P 0.4769 0.9537 0.7051
P4 P 0.8141 0.6281 0.0288
P5 P 0.1775 0.3550 0.9596
P6 P 0.1859 0.3719 0.5288
O1 O 0.4197 0.8394 0.2494
O2 O 0.3232 0.2646 0.5606
O3 O 0.3074 0.2412 0.9241
O4 O 0.0663 0.7588 0.4241
O5 O 0.3722 0.1406 0.2554
O6 O 0.5803 0.1606 0.7494
O7 O 0.5108 0.0217 0.0501
O8 O 0.6926 0.7588 0.4241
O9 O 0.0586 0.7354 0.0606
O10 O 0.9337 0.2412 0.9241
O11 O 0.6278 0.8594 0.7554
O12 O 0.2825 0.5649 0.6083
O13 O 0.2316 0.8594 0.7554
O14 O 0.7773 0.5547 0.8781
O15 O 0.6768 0.7354 0.0606
O16 O 0.7684 0.1406 0.2554
O17 O 0.4892 0.9783 0.5501
O18 O 0.7175 0.4351 0.1083
O19 O 0.2745 0.5489 0.8830
O20 O 0.2227 0.4453 0.3781
O21 O 0.7255 0.4511 0.3830
O22 O 0.9414 0.2646 0.5606
O23 O 0.7867 0.5734 0.6095
O24 O 0.2133 0.4266 0.1095
V1 V 0.3699 0.7398 0.4365
V2 V 0.6378 0.2756 0.5617
V3 V 0.5399 0.5808 0.7453
V4 V 0.3622 0.7244 0.0617
V5 V 0.0409 0.5808 0.7453
V6 V 0.6301 0.2602 0.9365
V7 V 0.4601 0.4192 0.2453
V8 V 0.9591 0.4192 0.2453
Li1 Li 0.9902 0.9804 0.3186
Li2 Li 0.0098 0.0196 0.8186
```



Record 2
# Ti3Sn2O10

Crystalline Ti3Sn2O10 at its relaxed geometry (PBEsol, Alexandria via LeMat-Bulk).

Results
Crystal system ... orthorhombic
SG ... No. 35
Density ... 5.4 g/cm3
Raw total energy ... -246.1 eV for the cell shown

Structure (CIF):
```
data_Ti3Sn2O10
_space_group_name_H-M_alt 'P 1'
_space_group_IT_number 1
_cell_length_a 4.6692
_cell_length_b 4.6692
_cell_length_c 15.2978
_cell_angle_alpha 90.00
_cell_angle_beta 90.00
_cell_angle_gamma 90.02
loop_
_space_group_symop_operation_xyz
'x,y,z'
loop_
_atom_site_label
_atom_site_type_symbol
_atom_site_fract_x
_atom_site_fract_y
_atom_site_fract_z
O1 O 0.3094 0.3094 0.4045
O2 O 0.2993 0.2993 0.5966
O3 O 0.6906 0.6906 0.4045
O4 O 0.1906 0.8094 0.2936
O5 O 0.1869 0.8131 0.9015
O6 O 0.7037 0.7037 0.8012
O7 O 0.1942 0.8058 0.0983
O8 O 0.8131 0.1869 0.9015
O9 O 0.7007 0.7007 0.0056
O10 O 0.6994 0.6994 0.1919
O11 O 0.8003 0.1997 0.5070
O12 O 0.7007 0.7007 0.5966
O13 O 0.8129 0.1871 0.7015
O14 O 0.2963 0.2963 0.8012
O15 O 0.1997 0.8003 0.5070
O16 O 0.8094 0.1906 0.2936
O17 O 0.3006 0.3006 0.1919
O18 O 0.1871 0.8129 0.7015
O19 O 0.2993 0.2993 0.0056
O20 O 0.8058 0.1942 0.0983
Sn1 Sn 0.0000 0.0000 0.4012
Sn2 Sn 0.5000 0.5000 0.9030
Sn3 Sn 0.5000 0.5000 0.6994
Sn4 Sn 0.5000 0.5000 0.2971
Ti1 Ti 0.5000 0.5000 0.1002
Ti2 Ti 0.0000 0.0000 0.6011
Ti3 Ti 0.5000 0.5000 0.5030
Ti4 Ti 0.0000 0.0000 0.8005
Ti5 Ti 0.0000 0.0000 0.1913
Ti6 Ti 0.0000 0.0000 0.0000
```



- density of number 1 (LiV4P3O12)?
  3.5 g/cm3